(1)
CuGe3C PBE relaxed; polymorph energy (0 for the lowest one) = 614 meV per atom; calculated density = 5.0 g/cm3; formation enthalpy at 0 K = 1.627 eV per atom
1.0
4.5901 0.0000 0.0000
0.0000 4.5901 0.0000
0.0000 0.0000 4.5901
Cu Ge C
1 3 1
Cartesian
0.0000 0.0000 0.0000
0.0000 0.0000 2.2950
0.0000 2.2950 0.0000
2.2950 0.0000 0.0000
2.2950 2.2950 2.2950

(2)
CuGe2C PBE relaxed; calculated density = 5.8 g/cm3; formation enthalpy at 0 K = 0.601 eV per atom
1.0
-2.6663 2.6663 4.4510
2.6663 -2.6663 4.4510
2.6663 2.6663 -4.4510
Cu Ge C
2 4 2
Cartesian
0.0000 0.0000 0.0000
0.0000 2.6663 2.2255
1.3331 -1.0229 3.3382
1.6434 1.3331 1.1127
1.3331 3.6891 -1.1127
1.0229 1.3331 5.5637
2.6663 0.0000 2.2255
0.0000 0.0000 4.4510

(3)
Cu2GeC PBE relaxed; polymorph energy (0 for the lowest one) = 0 meV per atom; calculated density = 6.1 g/cm3; formation enthalpy at 0 K = 0.848 eV per atom
1.0
-2.1983 2.1983 5.9752
2.1983 -2.1983 5.9752
2.1983 2.1983 -5.9752
Cu Ge C
4 2 2
Cartesian
0.5291 1.0991 1.4938
-1.0991 1.6691 4.4814
-0.5291 3.2974 1.4938
1.0991 2.7274 4.4814
2.1983 0.0000 2.9876
0.0000 0.0000 5.9752
0.0000 0.0000 0.0000
0.0000 2.1983 2.9876

(4)
CuGeC3 PBE relaxed; polymorph energy (0 for the lowest one) = 0 meV per atom; calculated density = 4.8 g/cm3; formation enthalpy at 0 K = 2.724 eV per atom
1.0
3.8930 0.0000 0.0000
0.0000 3.8930 0.0000
0.0000 0.0000 3.8930
Cu Ge C
1 1 3
Cartesian
0.0000 0.0000 0.0000
1.9465 1.9465 1.9465
0.0000 0.0000 1.9465
0.0000 1.9465 0.0000
1.9465 0.0000 0.0000

(5)
Cu2GeC PBE relaxed; polymorph energy (0 for the lowest one) = 326 meV per atom; calculated density = 7.3 g/cm3; formation enthalpy at 0 K = 1.174 eV per atom
1.0
0.0000 2.8906 2.8906
2.8906 0.0000 2.8906
2.8906 2.8906 0.0000
Cu Ge C
2 1 1
Cartesian
1.4453 1.4453 1.4453
4.3359 4.3359 4.3359
0.0000 0.0000 0.0000
2.8906 2.8906 2.8906

(6)
CuGeC3 PBE relaxed; polymorph energy (0 for the lowest one) = 41 meV per atom; calculated density = 4.7 g/cm3; formation enthalpy at 0 K = 2.765 eV per atom
1.0
3.9374 0.0000 0.0000
0.0000 3.9374 0.0000
0.0000 0.0000 3.9374
Cu Ge C
1 1 3
Cartesian
0.0000 0.0000 0.0000
1.9687 1.9687 1.9687
0.0000 1.9687 1.9687
1.9687 0.0000 1.9687
1.9687 1.9687 0.0000

(7)
CuGe3C PBE relaxed; polymorph energy (0 for the lowest one) = 0 meV per atom; calculated density = 6.2 g/cm3; formation enthalpy at 0 K = 1.013 eV per atom
1.0
4.2815 0.0000 0.0000
0.0000 4.2815 0.0000
0.0000 0.0000 4.2815
Cu Ge C
1 3 1
Cartesian
0.0000 0.0000 0.0000
0.0000 2.1407 2.1407
2.1407 0.0000 2.1407
2.1407 2.1407 0.0000
2.1407 2.1407 2.1407

(8)
CuGeMoC2 PBE relaxed; calculated density = 6.2 g/cm3; formation enthalpy at 0 K = 2.078 eV per atom
1.0
3.7188 0.0000 0.0000
0.0000 3.7188 0.0000
0.0000 0.0000 4.9661
Cu Ge Mo C
1 1 1 2
Cartesian
0.0000 0.0000 0.0000
0.0000 0.0000 2.4830
1.8594 1.8594 2.4830
0.0000 1.8594 0.0000
1.8594 0.0000 0.0000

(9)
NaCu2GeC PBE relaxed; calculated density = 3.9 g/cm3; formation enthalpy at 0 K = 2.409 eV per atom
1.0
4.4865 0.0000 0.0000
0.0000 4.4865 0.0000
0.0000 0.0000 4.9766
Na Cu Ge C
1 2 1 1
Cartesian
0.0000 0.0000 0.0000
0.0000 2.2433 0.0000
2.2433 0.0000 0.0000
0.0000 0.0000 2.4883
2.2433 2.2433 2.4883

(10)
CuNiGeC2 PBE relaxed; calculated density = 5.4 g/cm3; formation enthalpy at 0 K = 2.124 eV per atom
1.0
3.8635 0.0000 0.0000
0.0000 3.8635 0.0000
0.0000 0.0000 4.4923
Cu Ni Ge C
1 1 1 2
Cartesian
0.0000 0.0000 0.0000
1.9317 1.9317 0.0000
1.9317 1.9317 2.2461
0.0000 1.9317 2.2461
1.9317 0.0000 2.2461

(11)
CuGeCO5 PBE relaxed; formation energy without anion corrections = -1.00 eV/atom; calculated density = 5.0 g/cm3
1.0
3.3123 -3.8345 0.0000
3.3123 3.8345 0.0000
-3.0363 0.0000 5.9859
Cu Ge C O
2 2 2 10
Cartesian
1.0351 2.6732 4.4894
2.5533 -2.6732 1.4965
3.3123 0.0000 0.0000
1.7942 0.0000 2.9929
2.5533 2.4592 1.4965
1.0351 -2.4592 4.4894
-1.6061 0.4215 5.3665
1.6290 1.7346 2.2007
-0.0880 -0.4215 2.3735
3.4775 1.7346 0.7923
1.0351 0.7579 4.4894
2.5533 -0.7579 1.4965
0.1109 -1.7346 5.1936
3.6764 0.4215 3.6124
1.9594 -1.7346 3.7852
5.1945 -0.4215 0.6194

(12)
Cu2GeOsC PBE relaxed; calculated density = 7.7 g/cm3; formation enthalpy at 0 K = 1.158 eV per atom
1.0
4.7665 0.0000 0.0000
0.0000 4.7665 0.0000
0.0000 0.0000 3.8142
Cu Ge Os C
2 1 1 1
Cartesian
0.0000 2.3833 0.0000
2.3833 0.0000 0.0000
0.0000 0.0000 1.9071
2.3833 2.3833 0.0000
2.3833 2.3833 1.9071

(13)
CuGe2PtC PBE relaxed; calculated density = 7.0 g/cm3; formation enthalpy at 0 K = 0.997 eV per atom
1.0
5.1296 0.0000 0.0000
0.0000 5.1296 0.0000
0.0000 0.0000 3.7511
Cu Ge Pt C
1 2 1 1
Cartesian
0.0000 0.0000 0.0000
0.0000 2.5648 1.8756
2.5648 0.0000 1.8756
2.5648 2.5648 1.8756
2.5648 2.5648 0.0000

(14)
CuGeRuC2 PBE relaxed; calculated density = 6.3 g/cm3; formation enthalpy at 0 K = 2.077 eV per atom
1.0
3.7291 0.0000 0.0000
0.0000 3.7291 0.0000
0.0000 0.0000 4.9738
Cu Ge Ru C
1 1 1 2
Cartesian
0.0000 0.0000 0.0000
0.0000 0.0000 2.4869
1.8645 1.8645 2.4869
0.0000 1.8645 0.0000
1.8645 0.0000 0.0000

(15)
CuGeCS2 PBE relaxed; formation energy without anion corrections = 0.90 eV/atom; calculated density = 4.7 g/cm3
1.0
4.4919 0.0000 0.0000
0.0000 4.4919 0.0000
0.0000 0.0000 3.7235
Cu Ge C S
1 1 1 2
Cartesian
0.0000 0.0000 0.0000
2.2459 2.2459 0.0000
0.0000 0.0000 1.8618
0.0000 2.2459 1.8618
2.2459 0.0000 1.8618

(16)
CuGeTe2C PBE relaxed; formation energy without anion corrections = 1.27 eV/atom; calculated density = 5.9 g/cm3
1.0
5.6069 0.0000 0.0000
0.0000 5.6069 0.0000
0.0000 0.0000 3.6000
Cu Ge Te C
1 1 2 1
Cartesian
0.0000 0.0000 0.0000
2.8034 2.8034 1.8000
0.0000 2.8034 1.8000
2.8034 0.0000 1.8000
2.8034 2.8034 0.0000

(17)
K2CuH8C4O12 PBE relaxed; calculated density = 2.0 g/cm3; uncorrected energy = -5.988 eV per atom
1.0
4.0454 0.0000 0.0000
0.0000 14.6012 0.0000
-3.5422 0.0000 10.9449
K Cu H C O
4 2 16 8 24
Cartesian
0.5250 2.0129 0.1065
-1.2460 5.2877 5.5789
1.7493 9.3135 5.3660
-0.0218 12.5883 10.8384
-1.7711 0.0000 5.4724
0.0000 7.3006 0.0000
-1.8647 10.4941 9.3104
-0.0936 11.4077 3.8379
-1.6859 10.0171 10.7703
0.0851 11.8847 5.2979
-0.8098 1.9331 8.2251
0.9613 5.3675 2.7526
-0.8158 3.4586 8.6592
0.9553 3.8420 3.1867
-0.4520 10.7592 7.7581
1.3191 11.1426 2.2857
-0.4580 9.2337 8.1922
1.3130 12.6681 2.7198
0.4181 2.7165 5.6470
2.1892 4.5841 0.1745
0.5969 3.1935 7.1069
2.3680 4.1071 1.6345
-0.5171 7.5928 2.6907
-2.2882 14.3090 8.1632
-0.4507 1.3983 3.5193
-2.2218 5.9023 8.9917
2.7251 8.6989 1.9532
0.9540 13.2029 7.4256
2.7915 0.2922 2.7817
1.0204 7.0084 8.2541
-0.5603 7.4991 3.9290
-2.3314 14.4027 9.4014
-1.6074 0.4859 7.3764
0.1637 6.8147 1.9040
-0.5439 1.3698 4.8128
-2.3150 5.9308 10.2852
0.2277 2.2161 2.8751
-1.5433 5.0845 8.3476
-2.0621 10.7603 10.2438
-0.2910 11.1415 4.7714
-1.0031 9.9380 7.7630
0.7679 11.9638 2.2905
-0.2647 2.6374 8.6543
1.5064 4.6632 3.1819
0.7943 3.4597 6.1735
2.5654 3.8409 0.7010
2.0466 9.5167 2.5973
0.2755 12.3851 8.0698
2.8183 8.6704 0.6596
1.0472 13.2314 6.1321
0.3396 7.7865 9.0409
2.1107 14.1153 3.5684
2.8346 0.1985 1.5435
1.0636 7.1021 7.0159

(18)
Li2CuH14C4N6O8 PBE relaxed; calculated density = 1.9 g/cm3; uncorrected energy = -5.970 eV per atom
1.0
3.6554 0.0000 0.0000
0.0000 12.1657 0.0000
-3.0466 0.0000 13.9356
Li Cu H C N O
4 2 28 8 12 16
Cartesian
-0.5927 1.0247 5.0808
-2.1160 5.0581 12.0486
2.7248 7.1076 1.8870
1.2015 11.1409 8.8548
1.8277 0.0000 0.0000
0.3044 6.0828 6.9678
-2.2675 0.0942 11.5698
-0.7442 5.9886 4.6020
-2.2007 2.0278 12.6259
-0.6774 4.0551 5.6581
-1.4485 8.6765 10.0807
0.0748 9.5720 3.1129
-1.7267 8.3566 12.0458
-0.2034 9.8919 5.0780
-0.5736 0.7759 8.0762
0.9497 5.3069 1.1084
-0.4900 7.8272 9.1145
1.0333 10.4213 2.1467
-0.5051 0.6908 9.6629
1.0182 5.3920 2.6951
-0.4094 6.7737 11.2405
1.1139 11.4748 4.2727
-0.4245 1.7444 11.7889
1.0988 4.3385 4.8211
-0.3410 6.8587 12.8273
1.1823 11.3898 5.8594
0.8121 2.2738 8.8576
2.3354 3.8090 1.8898
0.5340 2.5937 10.8227
2.0573 3.4892 3.8549
1.2862 8.1106 8.2776
2.8095 10.1379 1.3098
1.3530 6.1770 9.3336
2.8763 12.0715 2.3658
-0.4137 7.8947 4.7390
-1.9370 10.3538 11.7068
1.6143 2.9893 0.1842
0.0910 3.0936 7.1520
0.5178 9.0721 6.7836
-1.0055 9.1764 13.7514
2.5457 1.8119 2.2289
1.0225 4.2709 9.1967
-0.4069 6.6930 5.2638
-1.9302 11.5555 12.2316
-0.0901 8.9977 5.5399
-1.6134 9.2508 12.5077
-1.5317 1.8849 13.3866
-0.0084 4.1980 6.4188
0.6172 7.9677 7.5168
2.1405 10.2808 0.5490
2.2222 2.9149 1.4280
0.6989 3.1679 8.3958
2.5390 0.6102 1.7040
1.0157 5.4727 8.6718
-0.7101 8.1841 3.5153
-2.2334 10.0644 10.4831
-1.0840 7.7491 9.9016
0.4393 10.4994 2.9338
-0.3375 1.9306 6.8047
-1.8608 4.1522 13.7725
-0.6510 0.1341 8.8477
0.8723 5.9487 1.8798
-0.2635 6.2169 12.0558
1.2598 12.0316 5.0880
2.4695 8.0135 0.1631
0.9462 10.2350 7.1310
0.1694 1.6662 11.0018
1.6927 4.4166 4.0340
2.8421 2.1013 3.4525
1.3189 3.9815 10.4203

(19)
LiCuHCO4 PBE relaxed; polymorph energy (0 for the lowest one) = 0 meV per atom; calculated density = 2.5 g/cm3
1.0
11.1813 0.0000 0.0000
-5.5906 9.6833 0.0000
0.0000 0.0000 5.3337
Li Cu H C O
6 6 6 6 24
Cartesian
-4.3423 7.9612 1.3334
0.8672 1.9421 1.3334
2.1155 0.2200 4.0003
3.4751 9.4632 1.3334
4.7234 7.7412 4.0003
9.9330 1.7221 4.0003
-2.7953 4.8416 0.0000
-2.7953 4.8416 2.6669
5.5906 0.0000 0.0000
5.5906 0.0000 2.6669
2.7953 4.8416 0.0000
2.7953 4.8416 2.6669
-1.4434 6.4220 1.3334
0.7507 5.2223 1.3334
0.6926 7.7223 1.3334
4.8980 1.9610 4.0003
4.8399 4.4610 4.0003
7.0340 3.2613 4.0003
-3.8224 7.1785 4.0003
1.2851 2.7837 4.0003
3.0533 0.2789 1.3334
2.5373 9.4043 4.0003
4.3055 6.8995 1.3334
9.4131 2.5048 1.3334
-4.5235 8.2519 4.0003
-3.4797 6.6674 2.8516
-3.4797 6.6674 5.1490
-1.4955 5.4394 1.3334
0.7060 1.6399 4.0003
1.7731 0.2085 1.3334
1.5564 3.3361 2.8516
1.5564 3.3361 5.1490
3.6673 0.3202 0.1847
3.6673 0.3202 2.4822
-0.1322 8.2587 1.3334
1.6277 5.6684 1.3334
3.9629 4.0148 4.0003
5.7229 1.4246 4.0003
1.9233 9.3631 2.8516
1.9233 9.3631 5.1490
4.0343 6.3472 0.1847
4.0343 6.3472 2.4822
3.8175 9.4747 4.0003
4.8847 8.0434 1.3334
7.0861 4.2439 4.0003
9.0703 3.0159 0.1847
9.0703 3.0159 2.4822
10.1141 1.4313 1.3334